[1]
Computed, not measured: SmPb2 after structural relaxation at the GGA-PBE level of DFT.

Unit cell a=9.960 b=9.960 c=9.960 alpha=60.00 beta=60.00 gamma=60.00
Site moments in Bohr magnetons follow the coordinates.
Fractional positions:
Pb1 0.875 0.375 0.375  0.30
Sm1 0.500 0.500 0.500  0.28
Pb2 0.375 0.375 0.875  0.22
Pb3 0.375 0.875 0.375  0.21
Sm2 0.250 0.250 0.250  0.28
Pb4 0.375 0.375 0.375  0.23

Calculated values
Calculated density, g/cm³: 2.68
Electronic total energy, eV for the cell shown: -17.11


[2]
Computed, not measured: TcAs2O after structural relaxation at the GGA-PBE level of DFT.

Unit cell a=3.782 b=3.782 c=9.092 alpha=90.00 beta=90.00 gamma=90.00
Fractional positions:
O1 0.000 0.000 0.000
As1 0.000 0.500 0.686
Tc1 0.000 0.000 0.500
As2 0.500 0.000 0.314
Tc2 0.500 0.500 0.500
O2 0.500 0.500 0.000
As3 0.000 0.500 0.108
As4 0.500 0.000 0.892

Calculated values
Calculated density, g/cm³: 6.74
Electronic total energy, eV for the cell shown: -50.12


[3]
Computed, not measured: Tb2TeAs after structural relaxation at the GGA-PBE level of DFT.

Unit cell a=4.210 b=4.210 c=7.506 alpha=106.30 beta=106.30 gamma=60.00
Fractional positions:
As1 0.000 0.000 0.500
Tb1 0.261 0.261 0.282
Tb2 0.739 0.739 0.718
Te1 0.500 0.500 0.000

Calculated values
Calculated density, g/cm³: 7.93
Electronic total energy, eV for the cell shown: -23.09


[4]
Computed, not measured: TaZn2Mo after structural relaxation at the GGA-PBE level of DFT.

Unit cell a=4.476 b=4.476 c=4.476 alpha=60.00 beta=60.00 gamma=60.00
Fractional positions:
Ta1 0.000 0.000 0.000
Zn1 0.250 0.250 0.250
Zn2 0.500 0.500 0.500
Mo1 0.750 0.750 0.750

Calculated values
Calculated density, g/cm³: 10.68
Electronic total energy, eV for the cell shown: -24.08


Repeat the second record exactly.
Computed, not measured: TcAs2O after structural relaxation at the GGA-PBE level of DFT.

Unit cell a=3.782 b=3.782 c=9.092 alpha=90.00 beta=90.00 gamma=90.00
Fractional positions:
O1 0.000 0.000 0.000
As1 0.000 0.500 0.686
Tc1 0.000 0.000 0.500
As2 0.500 0.000 0.314
Tc2 0.500 0.500 0.500
O2 0.500 0.500 0.000
As3 0.000 0.500 0.108
As4 0.500 0.000 0.892

Calculated values
Calculated density, g/cm³: 6.74
Electronic total energy, eV for the cell shown: -50.12


Which value of electronic total energy does entry 1 give?
-17.11 eV for the cell shown